# 1
DFT (PBE-GGA) results for Eu5B3ClO9 after structural relaxation.

The energy relative to the elements, uncorrected is -2.769 eV/atom. For the total magnetic moment, the calculation gives 0.3906 μB per atom. As for the total energy: -9.317 eV per atom.

The structure belongs to space group C222_1 (No. 20); the cell edges are 10.016, 14.385 and 7.396 Å and the angles 90.00°, 90.00° and 90.00°. The distinct sites, in fractional coordinates, are Eu at (0.000, 0.135, 0.250), Eu at (0.000, 0.137, 0.750), Eu at (0.132, 0.372, 0.937), Eu at (0.238, 0.500, 0.500), B at (0.129, 0.000, 0.500), B at (0.200, 0.287, 0.530), Cl at (0.000, 0.449, 0.250), O at (0.011, 0.000, 0.000), O at (0.121, 0.354, 0.613), O at (0.147, 0.200, 0.489), O at (0.166, 0.194, 0.990) and O at (0.195, 0.002, 0.336).

# 2
DFT (PBE-GGA) results for KNiAs3 after structural relaxation.

The distance to the lowest polymorph of the same formula comes out at 0.0 meV per atom. For the total magnetic moment, the calculation gives 0.0000 μB per atom. As for the total energy: -4.015 eV per atom. As for the energy of formation from the pure elements: 0.151 eV per atom.

The structure belongs to space group Pm-3m (No. 221); the cell edges are 4.819, 4.819 and 4.819 Å and the angles 90.00°, 90.00° and 90.00°. The distinct sites, in fractional coordinates, are K at (0.000, 0.000, 0.000), Ni at (0.500, 0.500, 0.500) and As at (0.000, 0.500, 0.500).

# 3
DFT (PBE-GGA) results for BeHgSb4 after structural relaxation.

The energy relative to the elements, uncorrected is 0.654 eV/atom. For the total magnetic moment, the calculation gives 0.0000 μB per atom. As for the total energy: -2.765 eV per atom.

The structure belongs to space group F-43m (No. 216); the cell edges are 8.798, 8.798 and 8.798 Å and the angles 90.00°, 90.00° and 90.00°. The distinct sites, in fractional coordinates, are Be at (0.000, 0.000, 0.000), Hg at (0.250, 0.250, 0.750) and Sb at (0.124, 0.124, 0.376).

# 4
DFT (PBE-GGA) results for BaIn4Co after structural relaxation.

For the total magnetic moment, the calculation gives 0.3066 μB per atom. As for the total energy: -3.071 eV per atom. As for the energy of formation from the pure elements: 0.259 eV per atom.

The structure belongs to space group F-43m (No. 216); the cell edges are 8.740, 8.740 and 8.740 Å and the angles 90.00°, 90.00° and 90.00°. The distinct sites, in fractional coordinates, are Ba at (0.000, 0.000, 0.000), In at (0.124, 0.124, 0.376) and Co at (0.250, 0.250, 0.750).

# 5
DFT (PBE-GGA) results for In2AuSe after structural relaxation.

The energy relative to the elements, uncorrected is -0.277 eV/atom. For the total magnetic moment, the calculation gives 0.0000 μB per atom. As for the total energy: -3.337 eV per atom.

The structure belongs to space group R3m (No. 160, hexagonal axes); the cell edges are 3.9523, 3.9523 and 22.0730 Å and the angles 90.00°, 90.00° and 120.00°. The distinct sites, in fractional coordinates, are In at (0.0000, 0.0000, 0.0000), In at (0.0000, 0.0000, 0.1723), Au at (0.0000, 0.0000, 0.5876) and Se at (0.0000, 0.0000, 0.4175).

# 6
DFT (PBE-GGA) results for Tl12Cd3Sn5 after structural relaxation.

For the total magnetic moment, the calculation gives 0.0000 μB per atom. As for the total energy: -2.355 eV per atom. As for the energy of formation from the pure elements: 0.203 eV per atom.

The structure belongs to space group Ia-3d (No. 230); the cell edges are 17.770, 17.770 and 17.770 Å and the angles 90.00°, 90.00° and 90.00°. The distinct sites, in fractional coordinates, are Tl at (0.024, 0.084, 0.648), Cd at (0.000, 0.250, 0.125), Sn at (0.000, 0.000, 0.000) and Sn at (0.000, 0.250, 0.375).

# 7
DFT (PBE-GGA) results for YZnRe2 after structural relaxation.

For the total magnetic moment, the calculation gives 0.0000 μB per atom. As for the total energy: -8.152 eV per atom. As for the energy of formation from the pure elements: 0.006 eV per atom.

The structure belongs to space group P4mm (No. 99); the cell edges are 3.128, 3.128 and 7.344 Å and the angles 90.00°, 90.00° and 90.00°. The distinct sites, in fractional coordinates, are Y at (0.000, 0.000, 0.000), Zn at (0.500, 0.500, 0.300), Re at (0.000, 0.000, 0.520) and Re at (0.500, 0.500, 0.709).

# 8
DFT (PBE-GGA) results for Li2TlNiCl after structural relaxation.

The energy relative to the elements, uncorrected is -0.267 eV/atom. For the total magnetic moment, the calculation gives 0.0000 μB per atom. As for the total energy: -3.032 eV per atom.

The structure belongs to space group P4/mmm (No. 123); the cell edges are 4.549, 4.549 and 4.446 Å and the angles 90.00°, 90.00° and 90.00°. The distinct sites, in fractional coordinates, are Li at (0.000, 0.500, 0.000), Tl at (0.000, 0.000, 0.500), Ni at (0.500, 0.500, 0.500) and Cl at (0.500, 0.500, 0.000).

# 9
DFT (PBE-GGA) results for In3GaGe after structural relaxation.

The distance to the lowest polymorph of the same formula comes out at 0.0 meV per atom. For the total magnetic moment, the calculation gives 0.0000 μB per atom. As for the total energy: -2.727 eV per atom. As for the energy of formation from the pure elements: 0.444 eV per atom.

The structure belongs to space group Pm-3m (No. 221); the cell edges are 5.410, 5.410 and 5.410 Å and the angles 90.00°, 90.00° and 90.00°. The distinct sites, in fractional coordinates, are In at (0.000, 0.000, 0.500), Ga at (0.500, 0.500, 0.500) and Ge at (0.000, 0.000, 0.000).

# 10
DFT (PBE-GGA) results for La4InCu after structural relaxation.

The distance to the lowest polymorph of the same formula comes out at 21.5 meV per atom. For the total magnetic moment, the calculation gives 0.0000 μB per atom. As for the total energy: -4.616 eV per atom. As for the energy of formation from the pure elements: -0.192 eV per atom.

The structure belongs to space group C2/c (No. 15); the cell edges are 9.037, 14.547 and 6.079 Å and the angles 90.00°, 112.48° and 90.00°. The distinct sites, in fractional coordinates, are La at (0.116, 0.192, 0.074), La at (0.217, 0.420, 0.355), In at (0.000, 0.386, 0.750) and Cu at (0.000, 0.004, 0.750).

# 11
DFT (PBE-GGA) results for K2ScAgPb after structural relaxation.

For the total magnetic moment, the calculation gives 0.0001 μB per atom. As for the total energy: -2.464 eV per atom. As for the energy of formation from the pure elements: 0.554 eV per atom.

The structure belongs to space group P4/mmm (No. 123); the cell edges are 5.975, 5.975 and 5.436 Å and the angles 90.00°, 90.00° and 90.00°. The distinct sites, in fractional coordinates, are K at (0.000, 0.500, 0.000), Sc at (0.000, 0.000, 0.500), Ag at (0.500, 0.500, 0.000) and Pb at (0.500, 0.500, 0.500).